Record 1
Material: Cu2NiMo
Method: DFT, PBE
State: optimized geometry

Calculated values
Energy of formation from the pure elements ... 165 meV per atom
Energy above the lowest structure with this stoichiometry ... 0.101 eV/atom
Calculated volume ... 12.78 A^3/atom

Unit cell a=4.494 b=4.494 c=4.662 alpha=98.78 beta=98.78 gamma=33.36
Element x y z (fractional)
Cu 0.000 0.000 0.000
Cu 0.250 0.250 0.785
Ni 0.742 0.742 0.283
Mo 0.492 0.492 0.493


Record 2
Material: Cu2NiMo
Method: DFT, PBE
State: optimized geometry

Calculated values
Energy of formation from the pure elements ... 139 meV per atom
Energy above the lowest structure with this stoichiometry ... 0.076 eV/atom
Calculated volume ... 12.77 A^3/atom

Unit cell a=2.545 b=4.018 c=5.145 alpha=90.00 beta=103.84 gamma=90.00
Element x y z (fractional)
Cu 0.000 0.000 0.000
Cu 0.395 0.500 0.795
Ni 0.258 0.000 0.512
Mo 0.661 0.500 0.310


Record 3
Material: Cu2Ni4Mo
Method: DFT, PBE
State: optimized geometry

Calculated values
Energy of formation from the pure elements ... 30 meV per atom
Calculated volume ... 11.95 A^3/atom

Unit cell a=8.844 b=8.844 c=2.531 alpha=90.00 beta=90.00 gamma=154.99
Element x y z (fractional)
Cu 0.211 0.789 0.000
Cu 0.789 0.211 0.000
Ni 0.072 0.928 0.000
Ni 0.354 0.646 0.500
Ni 0.646 0.354 0.500
Ni 0.928 0.072 0.000
Mo 0.500 0.500 0.500